[1]
# DyTi4S8, relaxed, DFT PBE
data_DyTi4S8
_chemical_formula_sum 'Dy3 Ti12 S24'
_symmetry_space_group_name_H-M 'R -3 m'
_symmetry_Int_Tables_number 166
_symmetry_space_group_name_Hall '-R 3 2"'
_cell_length_a 6.8925
_cell_length_b 6.8925
_cell_length_c 19.3092
_cell_angle_alpha 90.00
_cell_angle_beta 90.00
_cell_angle_gamma 120.00
loop_
_atom_site_label
_atom_site_type_symbol
_atom_site_fract_x
_atom_site_fract_y
_atom_site_fract_z
_atom_site_occupancy
Dy1 Dy 0.0000 0.0000 0.0000 1
Ti1 Ti 0.0000 0.0000 0.5000 1
Ti2 Ti 0.0000 0.5000 0.5000 1
S1 S 0.0000 0.0000 0.2389 1
S2 S 0.0067 0.5034 0.2422 1
# Calculated total energy   -6.836 eV/atom



[2]
# YBr2N, relaxed, DFT PBE
data_YBr2N
_chemical_formula_sum 'Y4 Br8 N4'
_symmetry_space_group_name_H-M 'I -4 2 d'
_symmetry_Int_Tables_number 122
_symmetry_space_group_name_Hall 'I -4 2bw'
_cell_length_a 3.701
_cell_length_b 3.701
_cell_length_c 28.193
_cell_angle_alpha 90.00
_cell_angle_beta 90.00
_cell_angle_gamma 90.00
loop_
_atom_site_label
_atom_site_type_symbol
_atom_site_fract_x
_atom_site_fract_y
_atom_site_fract_z
_atom_site_occupancy
Y1 Y 0.000 0.000 0.000 1
Br1 Br 0.249 0.250 0.625 1
N1 N 0.000 0.000 0.500 1
# Energy above the most stable polymorph in this dataset   134 meV/atom



[3]
# Ce7AlRh2, relaxed, DFT PBE
data_Ce7AlRh2
_chemical_formula_sum 'Ce14 Al2 Rh4'
_symmetry_space_group_name_H-M 'C m m m'
_symmetry_Int_Tables_number 65
_symmetry_space_group_name_Hall '-C 2 2'
_cell_length_a 8.684
_cell_length_b 13.495
_cell_length_c 5.077
_cell_angle_alpha 90.00
_cell_angle_beta 90.00
_cell_angle_gamma 90.00
loop_
_atom_site_label
_atom_site_type_symbol
_atom_site_fract_x
_atom_site_fract_y
_atom_site_fract_z
_atom_site_occupancy
Ce1 Ce 0.000 0.000 0.000 1
Ce2 Ce 0.000 0.238 0.500 1
Ce3 Ce 0.160 0.389 0.000 1
Al1 Al 0.000 0.500 0.500 1
Rh1 Rh 0.000 0.187 0.000 1
# Calculated total energy   -6.081 eV/atom



[4]
# CePmEr2Tm5, relaxed, DFT PBE
data_CePmEr2Tm5
_chemical_formula_sum 'Ce4 Pm4 Er8 Tm20'
_symmetry_space_group_name_H-M 'C m c 21'
_symmetry_Int_Tables_number 36
_cell_length_a 5.627
_cell_length_b 21.214
_cell_length_c 9.511
_cell_angle_alpha 90.00
_cell_angle_beta 90.00
_cell_angle_gamma 90.00
loop_
_symmetry_equiv_pos_as_xyz
'x,y,z'
'-x,-y,z+1/2'
'-x,y,z'
'x,-y,z+1/2'
'x+1/2,y+1/2,z'
'-x+1/2,-y+1/2,z+1/2'
'-x+1/2,y+1/2,z'
'x+1/2,-y+1/2,z+1/2'
loop_
_atom_site_label
_atom_site_type_symbol
_atom_site_fract_x
_atom_site_fract_y
_atom_site_fract_z
_atom_site_occupancy
Ce1 Ce 0.000 0.196 0.000 1
Pm1 Pm 0.000 0.403 0.400 1
Er1 Er 0.000 0.113 0.299 1
Er2 Er 0.000 0.138 0.680 1
Tm1 Tm 0.000 0.013 0.993 1
Tm2 Tm 0.000 0.266 0.312 1
Tm3 Tm 0.000 0.307 0.694 1
Tm4 Tm 0.000 0.394 0.016 1
Tm5 Tm 0.000 0.471 0.721 1
# Calculated total energy   -4.507 eV/atom